# 1
Cs3RbPb: relaxed, GGA-PBE. Values from VASP.

**Offset from the most stable computed form**: 540 meV per atom
**V**: 107.79 A^3/atom
**DOS at the Fermi energy**: 0.566 states/eV/atom

```
&SYSTEM
  ibrav = 0, nat = 5, ntyp = 3
/
ATOMIC_SPECIES
Cs 132.91 Cs.upf
Rb 85.47 Rb.upf
Pb 207.20 Pb.upf
ATOMIC_POSITIONS angstrom
Cs 0.0000 0.0000 4.0690
Cs 0.0000 4.0690 0.0000
Cs 4.0690 0.0000 0.0000
Rb 0.0000 0.0000 0.0000
Pb 4.0690 4.0690 4.0690
CELL_PARAMETERS angstrom
8.1379 0.0000 0.0000
0.0000 8.1379 0.0000
0.0000 0.0000 8.1379
```

# 2
Cs3RbPb: relaxed, GGA-PBE. Values from VASP.

**Offset from the most stable computed form**: 116 meV per atom
**V**: 92.91 A^3/atom
**DOS at the Fermi energy**: 0.353 states/eV/atom

```
&SYSTEM
  ibrav = 0, nat = 5, ntyp = 3
/
ATOMIC_SPECIES
Cs 132.91 Cs.upf
Rb 85.47 Rb.upf
Pb 207.20 Pb.upf
ATOMIC_POSITIONS angstrom
Cs 0.0000 0.0000 3.8725
Cs 0.0000 3.8725 0.0000
Cs 3.8725 0.0000 0.0000
Rb 3.8725 3.8725 3.8725
Pb 0.0000 0.0000 0.0000
CELL_PARAMETERS angstrom
7.7449 0.0000 0.0000
0.0000 7.7449 0.0000
0.0000 0.0000 7.7449
```

# 3
Cs2Rb4Pb: relaxed, GGA-PBE. Values from VASP.

**Calculated total energy**: -9.00 eV/cell
**V**: 90.05 A^3/atom
**DOS at the Fermi energy**: 1.110 states/eV/atom

```
&SYSTEM
  ibrav = 0, nat = 7, ntyp = 3
/
ATOMIC_SPECIES
Cs 132.91 Cs.upf
Rb 85.47 Rb.upf
Pb 207.20 Pb.upf
ATOMIC_POSITIONS angstrom
Cs 0.0000 0.0000 3.3216
Cs 0.0000 0.0000 20.2243
Rb 3.6586 0.0000 0.0000
Rb 0.0000 0.0000 8.0878
Rb 0.0000 3.6586 0.0000
Rb 0.0000 0.0000 15.4581
Pb 0.0000 0.0000 11.7730
CELL_PARAMETERS angstrom
-3.6586 3.6586 11.7730
3.6586 -3.6586 11.7730
3.6586 3.6586 -11.7730
```

# 4
CsRbPb: relaxed, GGA-PBE. Values from VASP.

**Offset from the most stable computed form**: 0 meV per atom
**V**: 69.77 A^3/atom
**DOS at the Fermi energy**: 0.529 states/eV/atom

```
&SYSTEM
  ibrav = 0, nat = 6, ntyp = 3
/
ATOMIC_SPECIES
Cs 132.91 Cs.upf
Rb 85.47 Rb.upf
Pb 207.20 Pb.upf
ATOMIC_POSITIONS angstrom
Cs 0.0000 0.0000 0.0000
Cs -0.0021 0.0000 5.9067
Rb 2.9357 0.0000 14.3374
Rb 5.8679 0.0000 10.3158
Pb 2.9317 0.0000 2.3759
Pb 5.8648 0.0000 3.5274
CELL_PARAMETERS angstrom
4.4001 -2.5390 0.0000
4.4001 2.5390 0.0000
-0.0069 0.0000 18.7353
```

# 5
Cs3Rb2Pb2: relaxed, GGA-PBE. Values from VASP.

**Calculated total energy**: -12.08 eV/cell
**V**: 63.51 A^3/atom
**DOS at the Fermi energy**: 1.077 states/eV/atom

```
&SYSTEM
  ibrav = 0, nat = 7, ntyp = 3
/
ATOMIC_SPECIES
Cs 132.91 Cs.upf
Rb 85.47 Rb.upf
Pb 207.20 Pb.upf
ATOMIC_POSITIONS angstrom
Cs 0.0000 0.0000 0.0000
Cs -0.3264 0.0000 4.0998
Cs 9.1284 0.0000 5.0163
Rb 3.8865 0.0000 1.6658
Rb 4.9156 0.0000 7.4503
Pb 1.0861 0.0000 7.6582
Pb 7.7160 0.0000 1.4578
CELL_PARAMETERS angstrom
6.9932 -3.4866 0.0000
6.9932 3.4866 0.0000
-5.1844 0.0000 9.1161
```

# 6
CsRbPbS2: relaxed, GGA-PBE. Values from VASP.

**V**: 44.49 A^3/atom
**Raw formation energy**: -0.85 eV/atom

```
&SYSTEM
  ibrav = 0, nat = 10, ntyp = 4
/
ATOMIC_SPECIES
Cs 132.91 Cs.upf
Rb 85.47 Rb.upf
Pb 207.20 Pb.upf
S 32.06 S.upf
ATOMIC_POSITIONS angstrom
Cs 1.9027 0.0000 1.2958
Cs 13.4672 0.0000 9.5606
Rb 1.6257 0.0000 6.1943
Rb 13.7442 0.0000 4.6622
Pb 7.9868 0.0000 3.6213
Pb 7.3830 0.0000 7.2351
S -0.8566 0.0000 8.6872
S 4.7839 0.0000 7.0732
S 10.5860 0.0000 3.7833
S 16.2265 0.0000 2.1693
CELL_PARAMETERS angstrom
8.8207 -2.3229 0.0000
8.8207 2.3229 0.0000
-2.2716 0.0000 10.8565
```

# 7
CsRbSbPb: relaxed, GGA-PBE. Values from VASP.

**V**: 49.88 A^3/atom
**Raw formation energy**: -0.29 eV/atom
**DOS at the Fermi energy**: 0.726 states/eV/atom

```
&SYSTEM
  ibrav = 0, nat = 4, ntyp = 4
/
ATOMIC_SPECIES
Cs 132.91 Cs.upf
Rb 85.47 Rb.upf
Sb 121.76 Sb.upf
Pb 207.20 Pb.upf
ATOMIC_POSITIONS angstrom
Cs 0.0000 0.0000 0.0000
Rb 3.5401 0.0000 2.5061
Sb 7.3021 0.0000 3.0100
Pb -0.3933 0.0000 4.5587
CELL_PARAMETERS angstrom
6.6420 -2.3339 0.0000
6.6420 2.3339 0.0000
-4.0365 0.0000 6.4351
```

# 8
CsRbPb2Se: relaxed, GGA-PBE. Values from VASP.

**V**: 54.78 A^3/atom
**Raw formation energy**: 0.77 eV/atom
**DOS at the Fermi energy**: 1.331 states/eV/atom

```
&SYSTEM
  ibrav = 0, nat = 5, ntyp = 4
/
ATOMIC_SPECIES
Cs 132.91 Cs.upf
Rb 85.47 Rb.upf
Pb 207.20 Pb.upf
Se 78.96 Se.upf
ATOMIC_POSITIONS angstrom
Cs 0.0000 0.0000 0.0000
Rb 0.0000 0.0000 3.4608
Pb 0.0000 3.1454 3.4608
Pb 3.1454 0.0000 3.4608
Se 3.1454 3.1454 0.0000
CELL_PARAMETERS angstrom
6.2909 0.0000 0.0000
0.0000 6.2909 0.0000
0.0000 0.0000 6.9215
```

# 9
CsRbPbSe2: relaxed, GGA-PBE. Values from VASP.

**V**: 49.49 A^3/atom
**Raw formation energy**: -0.87 eV/atom

```
&SYSTEM
  ibrav = 0, nat = 10, ntyp = 4
/
ATOMIC_SPECIES
Cs 132.91 Cs.upf
Rb 85.47 Rb.upf
Pb 207.20 Pb.upf
Se 78.96 Se.upf
ATOMIC_POSITIONS angstrom
Cs 1.9577 0.0000 1.3353
Cs 14.2866 0.0000 9.8415
Rb 1.8016 0.0000 6.3801
Rb 14.4427 0.0000 4.7967
Pb 8.4210 0.0000 3.7921
Pb 7.8233 0.0000 7.3847
Se -0.7130 0.0000 8.9159
Se 5.0874 0.0000 7.2772
Se 11.1569 0.0000 3.8996
Se 16.9573 0.0000 2.2609
CELL_PARAMETERS angstrom
9.2142 -2.4027 0.0000
9.2142 2.4027 0.0000
-2.1842 0.0000 11.1768
```

# 10
CsRbSiPb2: relaxed, GGA-PBE. Values from VASP.

**V**: 41.86 A^3/atom
**Raw formation energy**: 0.22 eV/atom
**DOS at the Fermi energy**: 0.827 states/eV/atom

```
&SYSTEM
  ibrav = 0, nat = 5, ntyp = 4
/
ATOMIC_SPECIES
Cs 132.91 Cs.upf
Rb 85.47 Rb.upf
Si 28.09 Si.upf
Pb 207.20 Pb.upf
ATOMIC_POSITIONS angstrom
Cs 0.0000 0.0000 0.0000
Rb 2.8364 2.8364 0.0000
Si 2.8364 2.8364 3.2519
Pb 0.0000 2.8364 3.2519
Pb 2.8364 0.0000 3.2519
CELL_PARAMETERS angstrom
5.6728 0.0000 0.0000
0.0000 5.6728 0.0000
0.0000 0.0000 6.5037
```

# 11
Cs4Rb2SnPb2: relaxed, GGA-PBE. Values from VASP.

**Calculated total energy**: -17.31 eV/cell
**V**: 61.78 A^3/atom
**DOS at the Fermi energy**: 0.234 states/eV/atom

```
&SYSTEM
  ibrav = 0, nat = 9, ntyp = 4
/
ATOMIC_SPECIES
Cs 132.91 Cs.upf
Rb 85.47 Rb.upf
Sn 118.71 Sn.upf
Pb 207.20 Pb.upf
ATOMIC_POSITIONS angstrom
Cs 4.5925 3.2886 5.0451
Cs 9.5268 3.2886 1.1589
Cs 4.5925 -3.2886 5.0451
Cs 9.5268 -3.2886 1.1589
Rb 5.2064 0.0000 1.8200
Rb 8.9129 0.0000 4.3840
Sn -0.7307 0.0000 3.1020
Pb 1.8470 0.0000 4.3659
Pb 12.2723 0.0000 1.8380
CELL_PARAMETERS angstrom
7.7903 -5.7523 0.0000
7.7903 5.7523 0.0000
-1.4613 0.0000 6.2040
```

# 12
Cs2RbTl2Pb: relaxed, GGA-PBE. Values from VASP.

**Calculated total energy**: -23.05 eV/cell
**V**: 49.71 A^3/atom
**DOS at the Fermi energy**: 0.420 states/eV/atom

```
&SYSTEM
  ibrav = 0, nat = 12, ntyp = 4
/
ATOMIC_SPECIES
Cs 132.91 Cs.upf
Rb 85.47 Rb.upf
Tl 204.38 Tl.upf
Pb 207.20 Pb.upf
ATOMIC_POSITIONS angstrom
Cs 0.0000 1.2559 0.0000
Cs 0.0000 8.9432 5.4527
Cs 2.6818 1.7799 7.1147
Cs 2.6818 8.4191 1.6620
Rb 2.6818 4.7837 0.0979
Rb 2.6818 5.4154 5.5506
Tl 0.0000 4.6783 8.3098
Tl 0.0000 5.5208 2.8571
Tl 2.6818 2.0853 2.8219
Tl 2.6818 8.1137 8.2745
Pb 0.0000 2.7980 4.3199
Pb 0.0000 7.4011 9.7726
CELL_PARAMETERS angstrom
5.3636 0.0000 0.0000
0.0000 10.1990 0.0000
0.0000 0.0000 10.9054
```

# 13
Cs4Rb2TlPb2: relaxed, GGA-PBE. Values from VASP.

**Calculated total energy**: -15.56 eV/cell
**V**: 59.75 A^3/atom
**DOS at the Fermi energy**: 0.600 states/eV/atom

```
&SYSTEM
  ibrav = 0, nat = 9, ntyp = 4
/
ATOMIC_SPECIES
Cs 132.91 Cs.upf
Rb 85.47 Rb.upf
Tl 204.38 Tl.upf
Pb 207.20 Pb.upf
ATOMIC_POSITIONS angstrom
Cs 4.5269 2.5471 5.4060
Cs 10.1159 2.5471 1.4337
Cs 4.5269 -2.5471 5.4060
Cs 10.1159 -2.5471 1.4337
Rb 5.4740 0.0000 1.8338
Rb 9.1689 0.0000 5.0059
Tl -1.0579 0.0000 3.4199
Pb 1.3566 0.0000 5.0632
Pb 13.2863 0.0000 1.7766
CELL_PARAMETERS angstrom
8.3794 -4.6914 0.0000
8.3794 4.6914 0.0000
-2.1159 0.0000 6.8397
```

# 14
Cs2Rb4TlPb2: relaxed, GGA-PBE. Values from VASP.

**Calculated total energy**: -15.94 eV/cell
**V**: 55.89 A^3/atom
**DOS at the Fermi energy**: 0.483 states/eV/atom

```
&SYSTEM
  ibrav = 0, nat = 9, ntyp = 4
/
ATOMIC_SPECIES
Cs 132.91 Cs.upf
Rb 85.47 Rb.upf
Tl 204.38 Tl.upf
Pb 207.20 Pb.upf
ATOMIC_POSITIONS angstrom
Cs 2.0023 0.0000 1.2627
Cs 12.7425 0.0000 5.1144
Rb 5.5438 2.0810 2.0184
Rb 9.2009 2.0810 4.3587
Rb 5.5438 -2.0810 2.0184
Rb 9.2009 -2.0810 4.3587
Tl 8.3527 0.0000 0.0000
Pb 3.8152 0.0000 4.9714
Pb 10.9296 0.0000 1.4058
CELL_PARAMETERS angstrom
8.3527 -4.7217 0.0000
8.3527 4.7217 0.0000
-1.9607 0.0000 6.3772
```

# 15
CsRb2ZnPb: relaxed, GGA-PBE. Values from VASP.

**Calculated total energy**: -7.52 eV/cell
**V**: 53.42 A^3/atom
**DOS at the Fermi energy**: 0.363 states/eV/atom

```
&SYSTEM
  ibrav = 0, nat = 5, ntyp = 4
/
ATOMIC_SPECIES
Cs 132.91 Cs.upf
Rb 85.47 Rb.upf
Zn 65.41 Zn.upf
Pb 207.20 Pb.upf
ATOMIC_POSITIONS angstrom
Cs 0.0000 0.0000 0.0000
Rb 0.0000 3.5274 2.6835
Rb 3.5274 0.0000 2.6835
Zn 3.5274 3.5274 2.6835
Pb 3.5274 3.5274 0.0000
CELL_PARAMETERS angstrom
7.0547 0.0000 0.0000
0.0000 7.0547 0.0000
0.0000 0.0000 5.3670
```

# 16
Cs2RbZnPb: relaxed, GGA-PBE. Values from VASP.

**Calculated total energy**: -7.41 eV/cell
**V**: 58.17 A^3/atom
**DOS at the Fermi energy**: 0.393 states/eV/atom

```
&SYSTEM
  ibrav = 0, nat = 5, ntyp = 4
/
ATOMIC_SPECIES
Cs 132.91 Cs.upf
Rb 85.47 Rb.upf
Zn 65.41 Zn.upf
Pb 207.20 Pb.upf
ATOMIC_POSITIONS angstrom
Cs 0.0000 3.6880 0.0000
Cs 3.6880 0.0000 0.0000
Rb 0.0000 0.0000 2.6732
Zn 3.6880 3.6880 0.0000
Pb 3.6880 3.6880 2.6732
CELL_PARAMETERS angstrom
7.3760 0.0000 0.0000
0.0000 7.3760 0.0000
0.0000 0.0000 5.3464
```

# 17
Cs2Rb4ZnPb2: relaxed, GGA-PBE. Values from VASP.

**Calculated total energy**: -14.56 eV/cell
**V**: 53.37 A^3/atom
**DOS at the Fermi energy**: 0.706 states/eV/atom

```
&SYSTEM
  ibrav = 0, nat = 9, ntyp = 4
/
ATOMIC_SPECIES
Cs 132.91 Cs.upf
Rb 85.47 Rb.upf
Zn 65.41 Zn.upf
Pb 207.20 Pb.upf
ATOMIC_POSITIONS angstrom
Cs 1.8337 0.0000 1.6661
Cs 12.0639 0.0000 5.0889
Rb 5.4019 2.0254 1.8415
Rb 8.4957 2.0254 4.9135
Rb 5.4019 -2.0254 1.8415
Rb 8.4957 -2.0254 4.9135
Zn 7.7887 0.0000 0.0000
Pb 3.9483 0.0000 5.0842
Pb 9.9493 0.0000 1.6708
CELL_PARAMETERS angstrom
7.7887 -4.5648 0.0000
7.7887 4.5648 0.0000
-1.6798 0.0000 6.7550
```

# 18
CsRePb2: relaxed, GGA-PBE. Values from VASP.

**Offset from the most stable computed form**: 0 meV per atom
**V**: 48.48 A^3/atom
**DOS at the Fermi energy**: 0.227 states/eV/atom

```
&SYSTEM
  ibrav = 0, nat = 8, ntyp = 3
/
ATOMIC_SPECIES
Cs 132.91 Cs.upf
Re 186.21 Re.upf
Pb 207.20 Pb.upf
ATOMIC_POSITIONS angstrom
Cs 3.6031 1.8016 1.8673
Cs 0.0000 1.8016 5.6020
Re 3.6031 -1.8016 5.6020
Re 0.0000 5.4047 1.8673
Pb 0.0000 0.0000 0.0000
Pb 1.8016 1.8016 -3.7346
Pb 1.8016 -1.8016 3.7346
Pb 0.0000 3.6031 0.0000
CELL_PARAMETERS angstrom
-3.6031 3.6031 7.4693
3.6031 -3.6031 7.4693
3.6031 3.6031 -7.4693
```

# 19
CsRePb2: relaxed, GGA-PBE. Values from VASP.

**Offset from the most stable computed form**: 592 meV per atom
**V**: 28.69 A^3/atom
**DOS at the Fermi energy**: 0.746 states/eV/atom

```
&SYSTEM
  ibrav = 0, nat = 4, ntyp = 3
/
ATOMIC_SPECIES
Cs 132.91 Cs.upf
Re 186.21 Re.upf
Pb 207.20 Pb.upf
ATOMIC_POSITIONS angstrom
Cs 0.0000 0.0000 0.0000
Re 3.8569 3.8569 3.8569
Pb 1.9284 1.9284 1.9284
Pb 5.7853 5.7853 5.7853
CELL_PARAMETERS angstrom
0.0000 3.8569 3.8569
3.8569 0.0000 3.8569
3.8569 3.8569 0.0000
```

# 20
CsRePb3: relaxed, GGA-PBE. Values from VASP.

**Offset from the most stable computed form**: 0 meV per atom
**V**: 32.88 A^3/atom
**DOS at the Fermi energy**: 1.495 states/eV/atom

```
&SYSTEM
  ibrav = 0, nat = 5, ntyp = 3
/
ATOMIC_SPECIES
Cs 132.91 Cs.upf
Re 186.21 Re.upf
Pb 207.20 Pb.upf
ATOMIC_POSITIONS angstrom
Cs 0.0000 0.0000 0.0000
Re 2.7390 2.7390 2.7390
Pb 0.0000 2.7390 2.7390
Pb 2.7390 0.0000 2.7390
Pb 2.7390 2.7390 0.0000
CELL_PARAMETERS angstrom
5.4780 0.0000 0.0000
0.0000 5.4780 0.0000
0.0000 0.0000 5.4780
```